Computed, not measured: a geometry-optimized NpSnGePd structure at the PBE level of DFT.

Structure (POSCAR):
```
NpSnGePd
1.0
-4.417 1.434 1.569
-3.409 -3.342 1.113
-1.293 -0.719 4.673
Ge Np Pd Sn
1 1 1 1
Direct
0.250 0.250 0.250
0.000 0.000 0.000
0.750 0.750 0.750
0.500 0.500 0.500
```

Output
Symmetry: F-43m
ΔE_f, meV/atom: -152
Density of states at the Fermi level, states/eV/f.u.: 10.80